Density functional theory data (PBE with a Hubbard U) for a relaxed structure of VSbF2.

M_tot ... 0.81 μB per atom
Calculated total energy ... -66.46 eV for the cell shown

Cell: 3.2805 3.2805 28.7771 Å, 90.00 90.00 120.00°
Space group R-3m (No. 166, hexagonal axes)
One atom of each set of equivalent atoms:
V: 0.0000 0.0000 0.0000 x3
Sb: 0.0000 0.0000 0.5000 x3
F: 0.0000 0.0000 0.3671 x6